No. 1
{
  "formula": "ZnCrIn2",
  "functional": "GGA-PBE",
  "state": "relaxed",
  "dos_at_fermi_per_ev_fu": 2.173,
  "e_form_kj_per_mol_atoms": 25.7,
  "rho_g_cm3": 7.496,
  "lattice": [[2.994, -4.032, 0.000], [2.994, 4.032, 0.000], [0.000, 0.000, 3.184]],
  "species": ["Zn", "Cr", "In", "In"],
  "frac_coords": [[0.000, 0.000, 0.000], [0.500, 0.500, 0.000], [0.000, 0.500, 0.500], [0.500, 0.000, 0.500]]
}

---

No. 2
{
  "formula": "LaGaNiRh",
  "functional": "GGA-PBE",
  "state": "relaxed",
  "dos_at_fermi_per_ev_fu": 2.274,
  "e_form_kj_per_mol_atoms": -61.9,
  "rho_g_cm3": 7.895,
  "lattice": [[3.723, -2.151, 0.000], [3.723, 2.151, 0.000], [-2.505, 0.000, 4.862]],
  "species": ["La", "Ga", "Ni", "Rh"],
  "frac_coords": [[0.000, 0.000, 0.000], [0.501, 0.501, 0.503], [0.803, 0.803, 0.410], [0.205, 0.205, 0.615]]
}

---

No. 3
{
  "formula": "TaPtSe3",
  "functional": "GGA-PBE",
  "state": "relaxed",
  "dos_at_fermi_per_ev_fu": 6.455,
  "de_polymorph_ev_per_atom": 1.404,
  "raw_formation_energy_ev_per_fu": 4.5,
  "rho_g_cm3": 8.903,
  "lattice": [[4.853, 0.000, 0.000], [0.000, 4.853, 0.000], [0.000, 0.000, 4.853]],
  "species": ["Ta", "Pt", "Se", "Se", "Se"],
  "frac_coords": [[0.000, 0.000, 0.000], [0.500, 0.500, 0.500], [0.000, 0.500, 0.500], [0.500, 0.000, 0.500], [0.500, 0.500, 0.000]]
}

---

No. 4
{
  "formula": "NaSmPu2Se4",
  "functional": "GGA-PBE",
  "state": "relaxed",
  "dos_at_fermi_per_ev_fu": 25.950,
  "raw_formation_energy_ev_per_fu": -12.4,
  "rho_g_cm3": 7.818,
  "lattice": [[7.225, 0.000, 0.000], [0.000, 4.177, 0.000], [-2.451, 0.000, 6.877]],
  "species": ["Na", "Sm", "Pu", "Pu", "Se", "Se", "Se", "Se"],
  "frac_coords": [[0.000, 0.000, 0.000], [0.000, 0.500, 0.500], [0.500, 0.000, 0.500], [0.500, 0.500, 0.000], [0.252, 0.000, 0.751], [0.254, 0.500, 0.256], [0.746, 0.500, 0.744], [0.748, 0.000, 0.249]]
}

---

No. 5
{
  "formula": "Sm2Al2InRh5",
  "functional": "GGA-PBE",
  "state": "relaxed",
  "dos_at_fermi_per_ev_fu": 5.593,
  "e_form_kj_per_mol_atoms": -76.5,
  "rho_g_cm3": 9.180,
  "lattice": [[10.037, 0.000, 0.000], [0.000, 10.037, 0.000], [0.000, 0.000, 3.534]],
  "species": ["Sm", "Sm", "Sm", "Sm", "Al", "Al", "Al", "Al", "In", "In", "Rh", "Rh", "Rh", "Rh", "Rh", "Rh", "Rh", "Rh", "Rh", "Rh"],
  "frac_coords": [[0.177, 0.323, 0.000], [0.323, 0.823, 0.000], [0.677, 0.177, 0.000], [0.823, 0.677, 0.000], [0.121, 0.621, 0.000], [0.379, 0.121, 0.000], [0.621, 0.879, 0.000], [0.879, 0.379, 0.000], [0.000, 0.000, 0.000], [0.500, 0.500, 0.000], [0.000, 0.500, 0.500], [0.068, 0.788, 0.500], [0.212, 0.068, 0.500], [0.288, 0.568, 0.500], [0.432, 0.288, 0.500], [0.500, 0.000, 0.500], [0.568, 0.712, 0.500], [0.712, 0.432, 0.500], [0.788, 0.932, 0.500], [0.932, 0.212, 0.500]]
}

---

No. 6
{
  "formula": "KTbMnCl6",
  "functional": "GGA-PBE",
  "state": "relaxed",
  "dos_at_fermi_per_ev_fu": 8.953,
  "raw_formation_energy_ev_per_fu": -14.2,
  "rho_g_cm3": 2.971,
  "lattice": [[6.496, 0.000, 0.000], [-3.248, 5.626, 0.000], [0.000, 0.000, 14.244]],
  "species": ["K", "K", "Tb", "Tb", "Mn", "Mn", "Cl", "Cl", "Cl", "Cl", "Cl", "Cl", "Cl", "Cl", "Cl", "Cl", "Cl", "Cl"],
  "frac_coords": [[0.000, 0.000, 0.000], [0.000, 0.000, 0.500], [0.333, 0.667, 0.250], [0.667, 0.333, 0.750], [0.333, 0.667, 0.750], [0.667, 0.333, 0.250], [0.034, 0.381, 0.649], [0.034, 0.653, 0.851], [0.347, 0.381, 0.851], [0.347, 0.966, 0.649], [0.381, 0.034, 0.149], [0.381, 0.347, 0.351], [0.619, 0.653, 0.649], [0.619, 0.966, 0.851], [0.653, 0.034, 0.351], [0.653, 0.619, 0.149], [0.966, 0.347, 0.149], [0.966, 0.619, 0.351]]
}

---

No. 7
{
  "formula": "TlPIr2",
  "functional": "GGA-PBE",
  "state": "relaxed",
  "dos_at_fermi_per_ev_fu": 3.557,
  "de_polymorph_ev_per_atom": 0.256,
  "e_form_kj_per_mol_atoms": 29.9,
  "rho_g_cm3": 13.425,
  "lattice": [[1.489, 0.860, 9.976], [-1.489, 0.860, 9.976], [0.000, -1.720, 9.976]],
  "species": ["Tl", "P", "Ir", "Ir"],
  "frac_coords": [[0.000, 0.000, 0.000], [0.211, 0.211, 0.211], [0.492, 0.492, 0.492], [0.749, 0.749, 0.749]]
}

---

No. 8
{
  "formula": "CaTlInCu",
  "functional": "GGA-PBE",
  "state": "relaxed",
  "dos_at_fermi_per_ev_fu": 2.142,
  "e_form_kj_per_mol_atoms": -9.0,
  "rho_g_cm3": 7.473,
  "lattice": [[0.000, 3.608, 3.608], [3.608, 0.000, 3.608], [3.608, 3.608, 0.000]],
  "species": ["Ca", "Tl", "In", "Cu"],
  "frac_coords": [[0.000, 0.000, 0.000], [0.750, 0.750, 0.750], [0.500, 0.500, 0.500], [0.250, 0.250, 0.250]]
}

---

No. 9
{
  "formula": "LiHfOs3",
  "functional": "GGA-PBE",
  "state": "relaxed",
  "dos_at_fermi_per_ev_fu": 7.497,
  "de_polymorph_ev_per_atom": 0.000,
  "e_form_kj_per_mol_atoms": 68.0,
  "rho_g_cm3": 17.138,
  "lattice": [[4.184, 0.000, 0.000], [0.000, 4.184, 0.000], [0.000, 0.000, 4.184]],
  "species": ["Li", "Hf", "Os", "Os", "Os"],
  "frac_coords": [[0.000, 0.000, 0.000], [0.500, 0.500, 0.500], [0.000, 0.000, 0.500], [0.000, 0.500, 0.000], [0.500, 0.000, 0.000]]
}

---

No. 10
{
  "formula": "CuSiOs",
  "functional": "GGA-PBE",
  "state": "relaxed",
  "dos_at_fermi_per_ev_fu": 1.291,
  "de_polymorph_ev_per_atom": 0.023,
  "raw_formation_energy_ev_per_fu": 0.1,
  "rho_g_cm3": 11.766,
  "lattice": [[4.016, 0.000, 0.000], [-2.008, 3.478, 0.000], [0.000, 0.000, 2.848]],
  "species": ["Cu", "Si", "Os"],
  "frac_coords": [[0.000, 0.000, 0.000], [0.333, 0.667, 0.724], [0.667, 0.333, 0.501]]
}

---

No. 11
{
  "formula": "EuThZr",
  "functional": "GGA-PBE",
  "state": "relaxed",
  "dos_at_fermi_per_ev_fu": 4.064,
  "e_form_kj_per_mol_atoms": 19.6,
  "rho_g_cm3": 8.606,
  "lattice": [[-1.696, 1.696, 7.974], [1.696, -1.696, 7.974], [1.696, 1.696, -7.974]],
  "species": ["Eu", "Th", "Zr"],
  "frac_coords": [[0.000, 0.000, 0.000], [0.688, 0.688, 0.000], [0.333, 0.333, 0.000]]
}

---

No. 12
{
  "formula": "TiMnAu3",
  "functional": "GGA-PBE",
  "state": "relaxed",
  "dos_at_fermi_per_ev_fu": 3.586,
  "de_polymorph_ev_per_atom": 0.000,
  "e_form_kj_per_mol_atoms": 74.2,
  "rho_g_cm3": 9.492,
  "lattice": [[4.951, 0.000, 0.000], [0.000, 4.951, 0.000], [0.000, 0.000, 4.951]],
  "species": ["Ti", "Mn", "Au", "Au", "Au"],
  "frac_coords": [[0.000, 0.000, 0.000], [0.500, 0.500, 0.500], [0.000, 0.000, 0.500], [0.000, 0.500, 0.000], [0.500, 0.000, 0.000]]
}